# 1
{
  "formula": "Ba2PtSe",
  "functional": "SCAN",
  "state": "PBEsol geometry",
  "cell": [[4.568, 0.000, 0.000], [0.000, 4.568, 0.000], [0.000, 0.000, 6.452]],
  "species": ["Ba", "Ba", "Pt", "Se"],
  "frac_coords": [[0.000, 0.000, 0.000], [0.500, 0.500, 0.500], [0.000, 0.000, 0.500], [0.500, 0.500, 0.000]],
  "final_energy_ev_per_atom": -43.85,
  "sg": "P4/mmm"
}

# 2
{
  "formula": "Ba3UIn2O9",
  "functional": "SCAN",
  "state": "PBEsol geometry",
  "cell": [[-2.998, 4.261, 9.042], [2.998, -4.261, 9.042], [2.998, 4.261, -9.042]],
  "species": ["Ba", "Ba", "Ba", "Ba", "Ba", "Ba", "U", "U", "In", "In", "In", "In", "O", "O", "O", "O", "O", "O", "O", "O", "O", "O", "O", "O", "O", "O", "O", "O", "O", "O"],
  "frac_coords": [[0.082, 0.344, 0.738], [0.228, 0.000, 0.228], [0.393, 0.656, 0.738], [0.607, 0.344, 0.262], [0.772, 0.000, 0.772], [0.918, 0.656, 0.262], [0.332, 0.832, 0.500], [0.668, 0.168, 0.500], [0.000, 0.500, 0.500], [0.167, 0.167, 0.000], [0.500, 0.500, 0.000], [0.833, 0.833, 0.000], [0.085, 0.334, 0.250], [0.085, 0.835, 0.750], [0.089, 0.832, 0.257], [0.251, 0.507, 0.256], [0.251, 0.995, 0.744], [0.255, 0.500, 0.755], [0.412, 0.157, 0.745], [0.412, 0.667, 0.255], [0.425, 0.168, 0.257], [0.575, 0.832, 0.743], [0.588, 0.333, 0.745], [0.588, 0.843, 0.255], [0.745, 0.500, 0.245], [0.749, 0.005, 0.256], [0.749, 0.493, 0.744], [0.911, 0.168, 0.743], [0.915, 0.165, 0.250], [0.915, 0.666, 0.750]],
  "final_energy_ev_per_atom": -25.83,
  "sg": "Immm"
}